Entry from Alexandria: an optimized crystal structure of Ge2Pd5S (PBE-GGA).

Values from the calculation:
Energy relative to the elements, uncorrected, meV per atom: -244
Uncorrected energy, eV/atom: -5.16
Size of the total moment, μB per atom: 0.00

Cell: 2.933 14.551 12.728 Å, 90.00 90.00 90.00°
Space group Cmcm (No. 63)
One atom of each set of equivalent atoms:
Ge (0.000, 0.128, 0.055) [8 per cell]
Pd (0.000, 0.034, 0.608) [8 per cell]
Pd (0.000, 0.131, 0.250) [4 per cell]
Pd (0.000, 0.237, 0.603) [8 per cell]
S (0.000, 0.135, 0.750) [4 per cell]

Entry from Alexandria: an optimized crystal structure of KY2Zn2 (PBE-GGA).

Values from the calculation:
Uncorrected energy, eV/atom: -3.29
Energy of formation from the pure elements, eV/atom: 0.02
Size of the total moment, μB per atom: 0.00

Cell: 8.876 8.876 3.439 Å, 90.00 90.00 90.00°
Space group P4/mbm (No. 127)
One atom of each set of equivalent atoms:
K (0.000, 0.000, 0.000) [2 per cell]
Y (0.134, 0.366, 0.000) [4 per cell]
Zn (0.158, 0.658, 0.500) [4 per cell]

Entry from Alexandria: an optimized crystal structure of Zr3SbS8 (PBE-GGA).

Values from the calculation:
Energy relative to the elements, uncorrected, meV per atom: -1154
Uncorrected energy, eV/atom: -6.39
Size of the total moment, μB per atom: 0.00

Cell: 12.926 7.465 8.059 Å, 90.00 122.92 90.00°
Space group C2/m (No. 12)
One atom of each set of equivalent atoms:
Zr (0.000, 0.000, 0.000) [2 per cell]
Zr (0.250, 0.250, 0.000) [4 per cell]
Sb (0.000, 0.500, 0.000) [2 per cell]
S (0.011, 0.248, 0.786) [8 per cell]
S (0.239, 0.000, 0.213) [4 per cell]
S (0.241, 0.500, 0.215) [4 per cell]

Entry from Alexandria: an optimized crystal structure of Ac2Pr4Sm5 (PBE-GGA).

Values from the calculation:
Uncorrected energy, eV/atom: -4.49
Energy of formation from the pure elements, eV/atom: 0.14
Size of the total moment, μB per atom: 0.00

Cell: 18.734 3.619 12.055 Å, 90.00 90.31 90.00°
Space group C2/m (No. 12)
One atom of each set of equivalent atoms:
Ac (0.097, 0.000, 0.046) [4 per cell]
Pr (0.054, 0.000, 0.749) [4 per cell]
Pr (0.186, 0.500, 0.587) [4 per cell]
Sm (0.000, 0.500, 0.500) [2 per cell]
Sm (0.132, 0.000, 0.337) [4 per cell]
Sm (0.240, 0.000, 0.845) [4 per cell]

Question: Look up the uncorrected energy of the first one.
Answer: -5.16 eV/atom